1.
DFT (GGA-PBE) results for a geometry-optimized SmAlAg2S4 structure.

## Properties
As for the raw formation energy: -875 meV/atom. For the volume, the calculation gives 20.7 Å³ per atom.

a = 7.679 Å, b = 7.679 Å, c = 7.432 Å
α = 116.40°, β = 116.40°, γ = 94.24°
Fractional coordinates of all 16 atoms:
1 Sm 0.000 0.500 0.000
2 Sm 0.500 0.000 0.500
3 Al 0.000 0.000 0.000
4 Al 0.000 0.000 0.500
5 Ag 0.000 0.500 0.500
6 Ag 0.500 0.000 0.000
7 Ag 0.500 0.500 0.000
8 Ag 0.500 0.500 0.500
9 S 0.208 0.772 0.496
10 S 0.221 0.222 0.929
11 S 0.222 0.221 0.429
12 S 0.228 0.792 0.004
13 S 0.772 0.208 0.996
14 S 0.778 0.779 0.571
15 S 0.779 0.778 0.071
16 S 0.792 0.228 0.504

=====

2.
DFT (GGA-PBE) results for a geometry-optimized Sm3AlAg3S8 structure.

## Properties
As for the raw formation energy: -1121 meV/atom. For the volume, the calculation gives 22.7 Å³ per atom.

a = 7.634 Å, b = 7.634 Å, c = 7.674 Å
α = 116.64°, β = 116.64°, γ = 63.61°
Fractional coordinates of all 15 atoms:
1 Sm 0.000 0.000 0.000
2 Sm 0.000 0.500 0.500
3 Sm 0.500 0.000 0.500
4 Al 0.500 0.500 0.000
5 Ag 0.000 0.500 0.000
6 Ag 0.500 0.000 0.000
7 Ag 0.500 0.500 0.500
8 S 0.248 0.248 0.254
9 S 0.276 0.276 0.782
10 S 0.276 0.717 0.222
11 S 0.283 0.724 0.778
12 S 0.717 0.276 0.222
13 S 0.724 0.283 0.778
14 S 0.724 0.724 0.218
15 S 0.752 0.752 0.746

=====

3.
DFT (GGA-PBE) results for a geometry-optimized AlAg3Sn3S8 structure.

## Properties
As for the raw formation energy: -397 meV/atom. For the volume, the calculation gives 21.1 Å³ per atom.

a = 7.759 Å, b = 7.759 Å, c = 7.759 Å
α = 58.20°, β = 58.20°, γ = 58.20°
Fractional coordinates of all 15 atoms:
1 Al 0.000 0.000 0.000
2 Ag 0.000 0.000 0.500
3 Ag 0.000 0.500 0.000
4 Ag 0.500 0.000 0.000
5 Sn 0.000 0.500 0.500
6 Sn 0.500 0.000 0.500
7 Sn 0.500 0.500 0.000
8 S 0.229 0.229 0.768
9 S 0.229 0.768 0.229
10 S 0.232 0.771 0.771
11 S 0.251 0.251 0.251
12 S 0.749 0.749 0.749
13 S 0.768 0.229 0.229
14 S 0.771 0.232 0.771
15 S 0.771 0.771 0.232

=====

4.
DFT (GGA-PBE) results for a geometry-optimized Al2Ag2SnS6 structure.

## Properties
As for the raw formation energy: -604 meV/atom. For the volume, the calculation gives 22.8 Å³ per atom.

a = 6.257 Å, b = 6.257 Å, c = 7.636 Å
α = 97.05°, β = 97.05°, γ = 120.02°
Fractional coordinates of all 11 atoms:
1 Al 0.156 0.844 0.000
2 Al 0.844 0.156 0.000
3 Ag 0.324 0.676 0.500
4 Ag 0.676 0.324 0.500
5 Sn 0.500 0.500 0.000
6 S 0.102 0.102 0.813
7 S 0.202 0.557 0.180
8 S 0.443 0.798 0.820
9 S 0.557 0.202 0.180
10 S 0.798 0.443 0.820
11 S 0.898 0.898 0.187

=====

5.
DFT (GGA-PBE) results for a geometry-optimized AlAgSnS4 structure.

## Properties
As for the raw formation energy: -581 meV/atom. For the volume, the calculation gives 21.1 Å³ per atom.

a = 7.474 Å, b = 7.474 Å, c = 7.474 Å
α = 121.13°, β = 118.76°, γ = 90.10°
Fractional coordinates of all 14 atoms:
1 Al 0.500 0.000 0.000
2 Al 0.500 0.500 0.500
3 Ag 0.108 0.358 0.750
4 Ag 0.892 0.642 0.250
5 Sn 0.000 0.000 0.000
6 Sn 0.500 0.000 0.500
7 S 0.266 0.256 0.490
8 S 0.266 0.776 0.010
9 S 0.278 0.244 0.034
10 S 0.291 0.756 0.534
11 S 0.709 0.244 0.466
12 S 0.722 0.756 0.966
13 S 0.734 0.224 0.990
14 S 0.734 0.744 0.510

=====

6.
DFT (GGA-PBE) results for a geometry-optimized TaAlAg2S structure.

## Properties
As for the raw formation energy: 1017 meV/atom. For the volume, the calculation gives 20.5 Å³ per atom.

a = 4.788 Å, b = 4.788 Å, c = 4.473 Å
α = 90.00°, β = 90.00°, γ = 90.00°
Fractional coordinates of all 5 atoms:
1 Ta 0.000 0.000 0.000
2 Al 0.500 0.500 0.500
3 Ag 0.000 0.500 0.500
4 Ag 0.500 0.000 0.500
5 S 0.500 0.500 0.000

=====

7.
DFT (GGA-PBE) results for a geometry-optimized TbAlAg2S4 structure.

## Properties
As for the raw formation energy: -895 meV/atom. For the volume, the calculation gives 20.1 Å³ per atom.

a = 7.632 Å, b = 7.632 Å, c = 7.377 Å
α = 117.17°, β = 117.17°, γ = 92.93°
Fractional coordinates of all 16 atoms:
1 Tb 0.000 0.500 0.000
2 Tb 0.500 0.000 0.500
3 Al 0.000 0.000 0.000
4 Al 0.000 0.000 0.500
5 Ag 0.000 0.500 0.500
6 Ag 0.500 0.000 0.000
7 Ag 0.500 0.500 0.000
8 Ag 0.500 0.500 0.500
9 S 0.218 0.221 0.940
10 S 0.218 0.769 0.496
11 S 0.221 0.218 0.440
12 S 0.231 0.782 0.004
13 S 0.769 0.218 0.996
14 S 0.779 0.782 0.560
15 S 0.782 0.231 0.504
16 S 0.782 0.779 0.060

=====

8.
DFT (GGA-PBE) results for a geometry-optimized Tb3AlAg3S8 structure.

## Properties
As for the raw formation energy: -1143 meV/atom. For the volume, the calculation gives 22.1 Å³ per atom.

a = 7.629 Å, b = 7.629 Å, c = 7.670 Å
α = 117.79°, β = 117.79°, γ = 62.44°
Fractional coordinates of all 15 atoms:
1 Tb 0.000 0.000 0.000
2 Tb 0.000 0.500 0.500
3 Tb 0.500 0.000 0.500
4 Al 0.500 0.500 0.000
5 Ag 0.000 0.500 0.000
6 Ag 0.500 0.000 0.000
7 Ag 0.500 0.500 0.500
8 S 0.247 0.247 0.256
9 S 0.274 0.274 0.776
10 S 0.274 0.722 0.224
11 S 0.278 0.726 0.776
12 S 0.722 0.274 0.224
13 S 0.726 0.278 0.776
14 S 0.726 0.726 0.224
15 S 0.753 0.753 0.744

=====

9.
DFT (GGA-PBE) results for a geometry-optimized Al2AgTeS6 structure.

## Properties
As for the raw formation energy: -411 meV/atom. For the volume, the calculation gives 22.3 Å³ per atom.

a = 8.151 Å, b = 8.151 Å, c = 6.888 Å
α = 98.62°, β = 98.62°, γ = 83.52°
Fractional coordinates of all 20 atoms:
1 Al 0.105 0.286 0.232
2 Al 0.286 0.105 0.732
3 Al 0.714 0.895 0.268
4 Al 0.895 0.714 0.768
5 Ag 0.406 0.594 0.750
6 Ag 0.594 0.406 0.250
7 Te 0.236 0.764 0.250
8 Te 0.764 0.236 0.750
9 S 0.071 0.205 0.524
10 S 0.138 0.586 0.900
11 S 0.205 0.071 0.024
12 S 0.293 0.484 0.361
13 S 0.414 0.862 0.600
14 S 0.484 0.293 0.861
15 S 0.516 0.707 0.139
16 S 0.586 0.138 0.400
17 S 0.707 0.516 0.639
18 S 0.795 0.929 0.976
19 S 0.862 0.414 0.100
20 S 0.929 0.795 0.476

=====

10.
DFT (GGA-PBE) results for a geometry-optimized AlAg2TeS4 structure.

## Properties
As for the raw formation energy: -268 meV/atom. For the volume, the calculation gives 24.5 Å³ per atom.

a = 5.626 Å, b = 6.232 Å, c = 6.560 Å
α = 108.54°, β = 110.13°, γ = 98.50°
Fractional coordinates of all 8 atoms:
1 Al 0.000 0.000 0.000
2 Ag 0.260 0.721 0.451
3 Ag 0.377 0.537 0.039
4 Te 0.933 0.224 0.541
5 S 0.132 0.720 0.789
6 S 0.336 0.317 0.281
7 S 0.678 0.092 0.739
8 S 0.852 0.825 0.214

=====

11.
DFT (GGA-PBE) results for a geometry-optimized Ti3AlAg3S8 structure.

## Properties
As for the raw formation energy: -846 meV/atom. For the volume, the calculation gives 18.9 Å³ per atom.

a = 6.996 Å, b = 6.996 Å, c = 7.838 Å
α = 116.85°, β = 116.85°, γ = 60.00°
Fractional coordinates of all 15 atoms:
1 Ti 0.000 0.000 0.000
2 Ti 0.000 0.500 0.000
3 Ti 0.500 0.000 0.000
4 Al 0.500 0.500 0.000
5 Ag 0.000 0.500 0.500
6 Ag 0.500 0.000 0.500
7 Ag 0.500 0.500 0.500
8 S 0.238 0.238 0.211
9 S 0.244 0.734 0.210
10 S 0.266 0.266 0.790
11 S 0.266 0.756 0.790
12 S 0.734 0.244 0.210
13 S 0.734 0.734 0.210
14 S 0.756 0.266 0.790
15 S 0.762 0.762 0.789

=====

12.
DFT (GGA-PBE) results for a geometry-optimized Al2TlAgS4 structure.

## Properties
As for the raw formation energy: -685 meV/atom. For the volume, the calculation gives 24.2 Å³ per atom.

a = 7.792 Å, b = 7.792 Å, c = 7.792 Å
α = 139.97°, β = 139.97°, γ = 57.89°
Fractional coordinates of all 8 atoms:
1 Al 0.250 0.750 0.500
2 Al 0.750 0.250 0.500
3 Tl 0.000 0.000 0.000
4 Ag 0.500 0.500 0.000
5 S 0.120 0.120 0.550
6 S 0.430 0.880 0.000
7 S 0.570 0.570 0.450
8 S 0.880 0.430 0.000

=====

13.
DFT (GGA-PBE) results for a geometry-optimized TmAlAg2S4 structure.

## Properties
As for the raw formation energy: -910 meV/atom. For the volume, the calculation gives 19.6 Å³ per atom.

a = 7.606 Å, b = 7.606 Å, c = 7.606 Å
α = 122.94°, β = 115.48°, γ = 91.49°
Fractional coordinates of all 16 atoms:
1 Tm 0.000 0.000 0.000
2 Tm 0.500 0.000 0.500
3 Al 0.500 0.000 0.000
4 Al 0.500 0.500 0.500
5 Ag 0.000 0.000 0.500
6 Ag 0.000 0.500 0.000
7 Ag 0.000 0.500 0.500
8 Ag 0.500 0.500 0.000
9 S 0.249 0.245 0.495
10 S 0.249 0.754 0.005
11 S 0.299 0.749 0.549
12 S 0.300 0.251 0.049
13 S 0.700 0.749 0.951
14 S 0.701 0.251 0.451
15 S 0.751 0.246 0.995
16 S 0.751 0.755 0.505

=====

14.
DFT (GGA-PBE) results for a geometry-optimized Tm3AlAg3S8 structure.

## Properties
As for the raw formation energy: -1150 meV/atom. For the volume, the calculation gives 21.5 Å³ per atom.

a = 7.628 Å, b = 7.628 Å, c = 7.670 Å
α = 119.04°, β = 119.04°, γ = 61.19°
Fractional coordinates of all 15 atoms:
1 Tm 0.000 0.000 0.000
2 Tm 0.000 0.500 0.500
3 Tm 0.500 0.000 0.500
4 Al 0.500 0.500 0.000
5 Ag 0.000 0.500 0.000
6 Ag 0.500 0.000 0.000
7 Ag 0.500 0.500 0.500
8 S 0.245 0.245 0.258
9 S 0.272 0.728 0.225
10 S 0.272 0.728 0.775
11 S 0.273 0.273 0.770
12 S 0.727 0.727 0.230
13 S 0.728 0.272 0.225
14 S 0.728 0.272 0.775
15 S 0.755 0.755 0.742

=====

15.
DFT (GGA-PBE) results for a geometry-optimized UAlAgS4 structure.

## Properties
As for the raw formation energy: -931 meV/atom. For the volume, the calculation gives 22.4 Å³ per atom.

a = 7.623 Å, b = 7.623 Å, c = 7.623 Å
α = 122.61°, β = 117.10°, γ = 90.32°
Fractional coordinates of all 14 atoms:
1 U 0.000 0.000 0.000
2 U 0.500 0.000 0.500
3 Al 0.500 0.000 0.000
4 Al 0.500 0.500 0.500
5 Ag 0.097 0.347 0.750
6 Ag 0.903 0.653 0.250
7 S 0.267 0.263 0.495
8 S 0.267 0.772 0.005
9 S 0.294 0.749 0.545
10 S 0.296 0.251 0.045
11 S 0.704 0.749 0.955
12 S 0.706 0.251 0.455
13 S 0.733 0.228 0.995
14 S 0.733 0.737 0.505

=====

16.
DFT (GGA-PBE) results for a geometry-optimized Y3AlAg3S8 structure.

## Properties
As for the raw formation energy: -1147 meV/atom. For the volume, the calculation gives 22.0 Å³ per atom.

a = 7.633 Å, b = 7.633 Å, c = 7.675 Å
α = 118.07°, β = 118.07°, γ = 62.16°
Fractional coordinates of all 15 atoms:
1 Y 0.000 0.000 0.000
2 Y 0.000 0.500 0.500
3 Y 0.500 0.000 0.500
4 Al 0.500 0.500 0.000
5 Ag 0.000 0.500 0.000
6 Ag 0.500 0.000 0.000
7 Ag 0.500 0.500 0.500
8 S 0.246 0.246 0.256
9 S 0.274 0.274 0.776
10 S 0.274 0.723 0.224
11 S 0.277 0.726 0.776
12 S 0.723 0.274 0.224
13 S 0.726 0.277 0.776
14 S 0.726 0.726 0.224
15 S 0.754 0.754 0.744

=====

17.
DFT (GGA-PBE) results for a geometry-optimized Y3AlAg4S8 structure.

## Properties
As for the raw formation energy: -1117 meV/atom. For the volume, the calculation gives 25.6 Å³ per atom.

a = 7.974 Å, b = 7.974 Å, c = 8.812 Å
α = 117.59°, β = 117.59°, γ = 59.92°
Fractional coordinates of all 16 atoms:
1 Y 0.000 0.000 0.000
2 Y 0.000 0.500 0.000
3 Y 0.500 0.000 0.000
4 Al 0.500 0.500 0.000
5 Ag 0.000 0.000 0.500
6 Ag 0.000 0.500 0.500
7 Ag 0.500 0.000 0.500
8 Ag 0.500 0.500 0.500
9 S 0.102 0.102 0.812
10 S 0.134 0.590 0.818
11 S 0.410 0.410 0.182
12 S 0.410 0.866 0.182
13 S 0.590 0.134 0.818
14 S 0.590 0.590 0.818
15 S 0.866 0.410 0.182
16 S 0.898 0.898 0.188

=====

18.
DFT (GGA-PBE) results for a geometry-optimized AlZnAg2S4 structure.

## Properties
As for the raw formation energy: -521 meV/atom. For the volume, the calculation gives 21.7 Å³ per atom.

a = 6.678 Å, b = 6.678 Å, c = 6.678 Å
α = 129.31°, β = 129.31°, γ = 74.52°
Fractional coordinates of all 8 atoms:
1 Al 0.000 0.000 0.000
2 Zn 0.750 0.250 0.500
3 Ag 0.250 0.750 0.500
4 Ag 0.500 0.500 0.000
5 S 0.095 0.121 0.461
6 S 0.366 0.905 0.026
7 S 0.661 0.634 0.539
8 S 0.879 0.339 0.974

=====

19.
DFT (GGA-PBE) results for a geometry-optimized ZrAl2Ag2S6 structure.

## Properties
As for the raw formation energy: -854 meV/atom. For the volume, the calculation gives 19.9 Å³ per atom.

a = 6.251 Å, b = 6.251 Å, c = 6.620 Å
α = 96.25°, β = 96.25°, γ = 119.77°
Fractional coordinates of all 11 atoms:
1 Zr 0.000 0.000 0.000
2 Al 0.332 0.668 0.000
3 Al 0.668 0.332 0.000
4 Ag 0.137 0.863 0.500
5 Ag 0.863 0.137 0.500
6 S 0.042 0.398 0.213
7 S 0.307 0.307 0.793
8 S 0.398 0.042 0.213
9 S 0.602 0.958 0.787
10 S 0.693 0.693 0.207
11 S 0.958 0.602 0.787

=====

20.
DFT (GGA-PBE) results for a geometry-optimized AlAg2Sb structure.

## Properties
Its relative energy among the computed polymorphs is 63 kJ/mol of formula units. As for the raw formation energy: 202 meV/atom. For the volume, the calculation gives 20.6 Å³ per atom.

a = 4.885 Å, b = 4.885 Å, c = 4.885 Å
α = 60.00°, β = 60.00°, γ = 60.00°
Fractional coordinates of all 4 atoms:
1 Al 0.000 0.000 0.000
2 Ag 0.500 0.500 0.500
3 Ag 0.750 0.750 0.750
4 Sb 0.250 0.250 0.250